Entry 1:
Compound: TbZnGaPt
Source: Alexandria
Functional: PBE-GGA
Structure: optimized geometry

Summary:
magnetic moment: 0.0 μB/cell
SG: F-43m, No. 216
Fermi-level density of states: 1.7 states/eV/cell
DFT formation energy: -658 meV per atom

Cell lengths 4.7050, 4.7050, 4.7050 Å; angles 60.00, 60.00, 60.00 degrees
Sites, in units of the cell vectors:
Tb1 0.0000 0.0000 0.0000
Zn1 0.2500 0.2500 0.2500
Ga1 0.5000 0.5000 0.5000
Pt1 0.7500 0.7500 0.7500

***

Entry 2:
Compound: TbZnGa2Pt2
Source: Alexandria
Functional: PBE-GGA
Structure: optimized geometry

Summary:
magnetic moment: 0.0 μB/cell
SG: P-3m1, No. 164
Fermi-level density of states: 2.6 states/eV/cell
DFT formation energy: -801 meV per atom

Cell lengths 4.3780, 4.3780, 6.5010 Å; angles 90.00, 90.00, 120.00 degrees
Sites, in units of the cell vectors:
Tb1 0.0000 0.0000 0.0000
Zn1 0.0000 0.0000 0.5000
Ga1 0.3333 0.6667 0.2921
Ga2 0.6667 0.3333 0.7079
Pt1 0.3333 0.6667 0.7123
Pt2 0.6667 0.3333 0.2877

***

Entry 3:
Compound: TbZnGa2Pt5
Source: Alexandria
Functional: PBE-GGA
Structure: optimized geometry

Summary:
magnetic moment: 0.0 μB/cell
SG: P4/mmm, No. 123
Fermi-level density of states: 1.8 states/eV/cell
DFT formation energy: -607 meV per atom

Cell lengths 4.0833, 4.0833, 9.5796 Å; angles 90.00, 90.00, 90.00 degrees
Sites, in units of the cell vectors:
Tb1 0.0000 0.0000 0.0000
Zn1 0.0000 0.0000 0.5000
Ga1 0.5000 0.5000 0.3744
Ga2 0.5000 0.5000 0.6256
Pt1 0.0000 0.5000 0.2238
Pt2 0.0000 0.5000 0.7762
Pt3 0.5000 0.0000 0.2238
Pt4 0.5000 0.0000 0.7762
Pt5 0.5000 0.5000 0.0000

***

Entry 4:
Compound: GaTc3Pt
Source: Alexandria
Functional: PBE-GGA
Structure: optimized geometry

Summary:
magnetic moment: 0.0 μB/cell
SG: Pm-3m, No. 221
Fermi-level density of states: 7.9 states/eV/cell
DFT formation energy: 1484 meV per atom
E above lowest polymorph: 0.0000 eV per atom

Cell lengths 4.4598, 4.4598, 4.4598 Å; angles 90.00, 90.00, 90.00 degrees
Sites, in units of the cell vectors:
Ga1 0.0000 0.0000 0.0000
Tc1 0.0000 0.0000 0.5000
Tc2 0.0000 0.5000 0.0000
Tc3 0.5000 0.0000 0.0000
Pt1 0.5000 0.5000 0.5000

***

Entry 5:
Compound: GaTcPt
Source: Alexandria
Functional: PBE-GGA
Structure: optimized geometry

Summary:
magnetic moment: 0.0 μB/cell
SG: P-6m2, No. 187
Fermi-level density of states: 4.0 states/eV/cell
DFT formation energy: -196 meV per atom

Cell lengths 2.8707, 2.8707, 12.6407 Å; angles 90.00, 90.00, 120.00 degrees
Sites, in units of the cell vectors:
Ga1 0.0000 0.0000 0.1619
Ga2 0.0000 0.0000 0.8381
Tc1 0.0000 0.0000 0.5000
Tc2 0.3333 0.6667 0.0000
Pt1 0.3333 0.6667 0.3265
Pt2 0.3333 0.6667 0.6735

***

Entry 6:
Compound: Ga2TcPt
Source: Alexandria
Functional: PBE-GGA
Structure: optimized geometry

Summary:
magnetic moment: 0.0 μB/cell
SG: P4/mmm, No. 123
Fermi-level density of states: 2.9 states/eV/cell
DFT formation energy: -314 meV per atom
E above lowest polymorph: 0.0866 eV per atom

Cell lengths 3.1125, 3.1125, 6.0849 Å; angles 90.00, 90.00, 90.00 degrees
Sites, in units of the cell vectors:
Ga1 0.0000 0.0000 0.2365
Ga2 0.0000 0.0000 0.7635
Tc1 0.5000 0.5000 0.0000
Pt1 0.5000 0.5000 0.5000

***

Entry 7:
Compound: Ga8Tc2Pt
Source: Alexandria
Functional: PBE-GGA
Structure: optimized geometry

Summary:
magnetic moment: 0.0 μB/cell
SG: C2/m, No. 12
Fermi-level density of states: 6.5 states/eV/cell
DFT formation energy: -108 meV per atom

Cell lengths 6.9255, 6.9255, 4.9790 Å; angles 101.37, 101.37, 53.96 degrees
Sites, in units of the cell vectors:
Ga1 0.0929 0.0929 0.8758
Ga2 0.1531 0.6673 0.6111
Ga3 0.3069 0.3069 0.1423
Ga4 0.3327 0.8469 0.3889
Ga5 0.6673 0.1531 0.6111
Ga6 0.6931 0.6931 0.8577
Ga7 0.8469 0.3327 0.3889
Ga8 0.9071 0.9071 0.1242
Tc1 0.2521 0.2521 0.6114
Tc2 0.7479 0.7479 0.3886
Pt1 0.5000 0.5000 0.0000

***

Entry 8:
Compound: Ga4TcPt
Source: Alexandria
Functional: PBE-GGA
Structure: optimized geometry

Summary:
magnetic moment: 0.0 μB/cell
SG: Cmmm, No. 65
Fermi-level density of states: 2.4 states/eV/cell
DFT formation energy: -159 meV per atom

Cell lengths 6.5852, 6.5852, 2.8190 Å; angles 90.00, 90.00, 90.07 degrees
Sites, in units of the cell vectors:
Ga1 0.2287 0.7713 0.0000
Ga2 0.2692 0.2692 0.5000
Ga3 0.7308 0.7308 0.5000
Ga4 0.7713 0.2287 0.0000
Tc1 0.0000 0.0000 0.5000
Pt1 0.5000 0.5000 0.0000

***

Entry 9:
Compound: Ga8TcPt2
Source: Alexandria
Functional: PBE-GGA
Structure: optimized geometry

Summary:
magnetic moment: 0.0 μB/cell
SG: C2/m, No. 12
Fermi-level density of states: 3.0 states/eV/cell
DFT formation energy: -287 meV per atom

Cell lengths 6.9367, 6.9367, 4.6884 Å; angles 106.69, 106.69, 78.29 degrees
Sites, in units of the cell vectors:
Ga1 0.0824 0.0824 0.3565
Ga2 0.1225 0.5724 0.8791
Ga3 0.3766 0.3766 0.4275
Ga4 0.4276 0.8775 0.1209
Ga5 0.5724 0.1225 0.8791
Ga6 0.6234 0.6234 0.5725
Ga7 0.8775 0.4276 0.1209
Ga8 0.9176 0.9176 0.6435
Tc1 0.5000 0.5000 0.0000
Pt1 0.1817 0.1817 0.9392
Pt2 0.8183 0.8183 0.0608

***

Entry 10:
Compound: Ga2TcPt
Source: Alexandria
Functional: PBE-GGA
Structure: optimized geometry

Summary:
magnetic moment: 2.0 μB/cell
SG: I-42d, No. 122
Fermi-level density of states: 5.5 states/eV/cell
DFT formation energy: 80 meV per atom
E above lowest polymorph: 0.4805 eV per atom

Cell lengths 5.6128, 5.6128, 5.6128 Å; angles 104.87, 104.87, 119.13 degrees
Sites, in units of the cell vectors:
Ga1 0.1163 0.1250 0.4913
Ga2 0.3750 0.8837 0.0087
Ga3 0.6337 0.6250 0.5087
Ga4 0.8750 0.3663 0.9913
Tc1 0.2500 0.7500 0.5000
Tc2 0.5000 0.5000 0.0000
Pt1 0.0000 0.0000 0.0000
Pt2 0.7500 0.2500 0.5000

***

Entry 11:
Compound: Ga2TcPt
Source: Alexandria
Functional: PBE-GGA
Structure: optimized geometry

Summary:
magnetic moment: 0.1 μB/cell
SG: R-3m, No. 166
Fermi-level density of states: 4.0 states/eV/cell
DFT formation energy: 80 meV per atom
E above lowest polymorph: 0.4804 eV per atom

Cell lengths 9.5055, 9.5055, 9.5055 Å; angles 17.14, 17.14, 17.14 degrees
Sites, in units of the cell vectors:
Ga1 0.0910 0.0910 0.0910
Ga2 0.9090 0.9090 0.9090
Tc1 0.0000 0.0000 0.0000
Pt1 0.5000 0.5000 0.5000

***

Entry 12:
Compound: Ga2TcPt
Source: Alexandria
Functional: PBE-GGA
Structure: optimized geometry

Summary:
magnetic moment: 0.0 μB/cell
SG: Fm-3m, No. 225
Fermi-level density of states: 1.4 states/eV/cell
DFT formation energy: -352 meV per atom
E above lowest polymorph: 0.0487 eV per atom

Cell lengths 4.3523, 4.3523, 4.3523 Å; angles 60.00, 60.00, 60.00 degrees
Sites, in units of the cell vectors:
Ga1 0.2500 0.2500 0.2500
Ga2 0.7500 0.7500 0.7500
Tc1 0.0000 0.0000 0.0000
Pt1 0.5000 0.5000 0.5000